[1]
Density functional theory data (PBE-GGA) for crystalline PmLuSb at its relaxed geometry.

Cell and atoms, written as CIF:
```
data_PmLuSb
_cell_length_a 5.2374
_cell_length_b 5.2374
_cell_length_c 5.2374
_cell_angle_alpha 60.00
_cell_angle_beta 60.00
_cell_angle_gamma 60.00
_symmetry_space_group_name_H-M 'P 1'
_symmetry_Int_Tables_number 1
loop_
_symmetry_equiv_pos_as_xyz
'x,y,z'
loop_
_atom_site_label
_atom_site_fract_x
_atom_site_fract_y
_atom_site_fract_z
Lu1 0.2500 0.2500 0.2500
Sb1 0.7500 0.7500 0.7500
Pm1 0.0000 0.0000 0.0000
```

The total energy is -4.36 eV/atom.

=====

[2]
Density functional theory data (PBE-GGA) for crystalline PmSmLu at its relaxed geometry.

Cell and atoms, written as CIF:
```
data_PmSmLu
_cell_length_a 5.4658
_cell_length_b 5.4658
_cell_length_c 5.4658
_cell_angle_alpha 60.00
_cell_angle_beta 60.00
_cell_angle_gamma 60.00
_symmetry_space_group_name_H-M 'P 1'
_symmetry_Int_Tables_number 1
loop_
_symmetry_equiv_pos_as_xyz
'x,y,z'
loop_
_atom_site_label
_atom_site_fract_x
_atom_site_fract_y
_atom_site_fract_z
Sm1 0.0000 0.0000 0.0000
Lu1 0.2500 0.2500 0.2500
Pm1 0.7500 0.7500 0.7500
```

The formation energy is 742.0 meV per atom. The calculation puts the relative energy among the computed polymorphs at 0 meV per atom.

=====

[3]
Density functional theory data (PBE-GGA) for crystalline PmLuSn at its relaxed geometry.

Cell and atoms, written as CIF:
```
data_PmLuSn
_cell_length_a 5.1449
_cell_length_b 5.1449
_cell_length_c 5.1449
_cell_angle_alpha 60.00
_cell_angle_beta 60.00
_cell_angle_gamma 60.00
_symmetry_space_group_name_H-M 'P 1'
_symmetry_Int_Tables_number 1
loop_
_symmetry_equiv_pos_as_xyz
'x,y,z'
loop_
_atom_site_label
_atom_site_fract_x
_atom_site_fract_y
_atom_site_fract_z
Sn1 0.0000 0.0000 0.0000
Lu1 0.2500 0.2500 0.2500
Pm1 0.7500 0.7500 0.7500
```

The calculation puts the relative energy among the computed polymorphs at 0 meV per atom.

=====

[4]
Density functional theory data (PBE-GGA) for crystalline SrPmLu at its relaxed geometry.

Cell and atoms, written as CIF:
```
data_SrPmLu
_cell_length_a 5.7386
_cell_length_b 5.7386
_cell_length_c 5.7386
_cell_angle_alpha 60.00
_cell_angle_beta 60.00
_cell_angle_gamma 60.00
_symmetry_space_group_name_H-M 'P 1'
_symmetry_Int_Tables_number 1
loop_
_symmetry_equiv_pos_as_xyz
'x,y,z'
loop_
_atom_site_label
_atom_site_fract_x
_atom_site_fract_y
_atom_site_fract_z
Sr1 0.7500 0.7500 0.7500
Pm1 0.0000 0.0000 0.0000
Lu1 0.2500 0.2500 0.2500
```

The total energy is -2.81 eV/atom.

=====

[5]
Density functional theory data (PBE-GGA) for crystalline PmLuTe at its relaxed geometry.

Cell and atoms, written as CIF:
```
data_PmLuTe
_cell_length_a 5.0897
_cell_length_b 5.0897
_cell_length_c 5.0897
_cell_angle_alpha 60.00
_cell_angle_beta 60.00
_cell_angle_gamma 60.00
_symmetry_space_group_name_H-M 'P 1'
_symmetry_Int_Tables_number 1
loop_
_symmetry_equiv_pos_as_xyz
'x,y,z'
loop_
_atom_site_label
_atom_site_fract_x
_atom_site_fract_y
_atom_site_fract_z
Lu1 0.2500 0.2500 0.2500
Pm1 0.7500 0.7500 0.7500
Te1 0.0000 0.0000 0.0000
```

The calculation puts the relative energy among the computed polymorphs at 0 meV per atom.

=====

[6]
Density functional theory data (PBE-GGA) for crystalline PmLuU at its relaxed geometry.

Cell and atoms, written as CIF:
```
data_PmLuU
_cell_length_a 5.2512
_cell_length_b 5.2512
_cell_length_c 5.2512
_cell_angle_alpha 60.00
_cell_angle_beta 60.00
_cell_angle_gamma 60.00
_symmetry_space_group_name_H-M 'P 1'
_symmetry_Int_Tables_number 1
loop_
_symmetry_equiv_pos_as_xyz
'x,y,z'
loop_
_atom_site_label
_atom_site_fract_x
_atom_site_fract_y
_atom_site_fract_z
Pm1 0.2500 0.2500 0.2500
U1 0.7500 0.7500 0.7500
Lu1 0.0000 0.0000 0.0000
```

The formation energy is 1260.6 meV per atom. The calculation puts the relative energy among the computed polymorphs at 0 meV per atom.

=====

| no. | size of the total moment (μB per atom) |
| --- | --- |
| 1 | 0.008 |
| 2 | 0.020 |
| 3 | 0.001 |
| 4 | 0.004 |
| 5 | 0.315 |
| 6 | 1.140 |